Material: YGe3Sb
Method: DFT, GGA-PBEsol
State: optimized geometry

```
YGe3Sb
1.0
5.149 0.000 0.000
0.000 5.149 0.000
0.000 0.000 5.149
Y Ge Sb
1 3 1
Direct
0.000 0.000 0.000 Y
0.000 0.500 0.500 Ge
0.500 0.000 0.500 Ge
0.500 0.500 0.000 Ge
0.500 0.500 0.500 Sb
```

Results
DFT total energy = -4.63 eV/atom
energy above the lowest structure with this stoichiometry = 0 meV per atom

Material: Ca2CdW
Method: DFT, GGA-PBEsol
State: optimized geometry

```
Ca2CdW
1.0
2.994 0.000 0.000
0.000 2.994 0.000
0.000 0.000 10.313
Ca Cd W
2 1 1
Direct
0.000 0.000 0.000 Ca
0.500 0.500 0.328 Ca
0.000 0.000 0.567 Cd
0.500 0.500 0.772 W
```

Results
ΔE_f = 0.58 eV/atom
DFT total energy = -4.24 eV/atom

Material: Mn2WCl
Method: DFT, GGA-PBEsol
State: optimized geometry

```
Mn2WCl
1.0
2.784 0.000 0.000
-1.392 2.411 0.000
0.000 0.000 23.917
Mn W Cl
6 3 3
Direct
0.000 0.000 0.000 Mn
0.000 0.000 0.259 Mn
0.333 0.667 0.667 Mn
0.333 0.667 0.925 Mn
0.667 0.333 0.333 Mn
0.667 0.333 0.592 Mn
0.000 0.000 0.502 W
0.333 0.667 0.169 W
0.667 0.333 0.836 W
0.000 0.000 0.748 Cl
0.333 0.667 0.415 Cl
0.667 0.333 0.081 Cl
```

Results
DFT total energy = -8.40 eV/atom
energy above the lowest structure with this stoichiometry = 142 meV per atom

Material: GdY3V4O16
Method: DFT, GGA-PBEsol
State: optimized geometry

```
GdY3V4O16
1.0
3.129 -5.039 0.000
3.129 5.039 0.000
0.000 0.000 10.081
Gd Y V O
1 3 4 16
Direct
0.000 0.000 0.000 Gd
0.000 0.500 0.251 Y
0.500 0.000 0.749 Y
0.500 0.500 0.500 Y
0.000 0.000 0.500 V
0.000 0.500 0.748 V
0.500 0.000 0.252 V
0.500 0.500 0.000 V
0.082 0.267 0.408 O
0.084 0.767 0.840 O
0.233 0.916 0.160 O
0.234 0.420 0.093 O
0.267 0.082 0.592 O
0.268 0.582 0.656 O
0.418 0.732 0.344 O
0.420 0.234 0.907 O
0.580 0.766 0.907 O
0.582 0.268 0.344 O
0.732 0.418 0.656 O
0.733 0.918 0.592 O
0.766 0.580 0.093 O
0.767 0.084 0.160 O
0.916 0.233 0.840 O
0.918 0.733 0.408 O
```

Results
DFT total energy = -9.60 eV/atom

Material: Cr3Re4
Method: DFT, GGA-PBEsol
State: optimized geometry

```
Cr3Re4
1.0
2.940 0.000 0.000
0.000 2.940 0.000
0.000 0.000 21.360
Cr Re
6 8
Direct
0.000 0.000 0.000 Cr
0.000 0.000 0.280 Cr
0.000 0.000 0.720 Cr
0.500 0.500 0.220 Cr
0.500 0.500 0.500 Cr
0.500 0.500 0.780 Cr
0.000 0.000 0.149 Re
0.000 0.000 0.431 Re
0.000 0.000 0.569 Re
0.000 0.000 0.851 Re
0.500 0.500 0.069 Re
0.500 0.500 0.351 Re
0.500 0.500 0.649 Re
0.500 0.500 0.931 Re
```

Results
ΔE_f = 0.09 eV/atom
DFT total energy = -11.92 eV/atom

Material: SrHfS2N
Method: DFT, GGA-PBEsol
State: optimized geometry

```
SrHfS2N
1.0
5.167 0.000 0.000
0.000 5.167 0.000
0.000 0.000 4.038
Sr Hf S N
1 1 2 1
Direct
0.000 0.000 0.000 Sr
0.500 0.500 0.500 Hf
0.000 0.500 0.000 S
0.500 0.000 0.000 S
0.000 0.000 0.500 N
```

Results
DFT total energy = -5.11 eV/atom

Material: MnZnRh2
Method: DFT, GGA-PBEsol
State: optimized geometry

```
MnZnRh2
1.0
3.658 0.000 0.000
0.000 3.658 0.000
0.000 0.000 7.800
Mn Zn Rh
2 2 4
Direct
0.000 0.000 0.000 Mn
0.500 0.500 0.500 Mn
0.000 0.500 0.250 Zn
0.500 0.000 0.750 Zn
0.000 0.000 0.500 Rh
0.000 0.500 0.750 Rh
0.500 0.000 0.250 Rh
0.500 0.500 0.000 Rh
```

Results
ΔE_f = -0.16 eV/atom
DFT total energy = -7.06 eV/atom

Material: MnSbTe2P
Method: DFT, GGA-PBEsol
State: optimized geometry

```
MnSbTe2P
1.0
4.909 0.000 0.000
0.000 4.909 0.000
0.000 0.000 4.898
Mn Sb Te P
1 1 2 1
Direct
0.000 0.000 0.000 Mn
0.000 0.000 0.500 Sb
0.000 0.500 0.000 Te
0.500 0.000 0.000 Te
0.500 0.500 0.500 P
```

Results
DFT total energy = -4.76 eV/atom

Material: Cu2Re3S6
Method: DFT, GGA-PBEsol
State: optimized geometry

```
Cu2Re3S6
1.0
7.884 -4.759 0.000
7.884 4.759 0.000
-0.136 0.000 11.446
Cu Re S
8 12 24
Direct
0.033 0.967 0.750 Cu
0.200 0.690 0.593 Cu
0.310 0.800 0.907 Cu
0.431 0.569 0.750 Cu
0.569 0.431 0.250 Cu
0.690 0.200 0.093 Cu
0.800 0.310 0.407 Cu
0.967 0.033 0.250 Cu
0.024 0.296 0.966 Re
0.119 0.488 0.868 Re
0.194 0.405 0.087 Re
0.296 0.024 0.466 Re
0.405 0.194 0.587 Re
0.488 0.119 0.368 Re
0.512 0.881 0.632 Re
0.595 0.806 0.413 Re
0.704 0.976 0.534 Re
0.806 0.595 0.913 Re
0.881 0.512 0.132 Re
0.976 0.704 0.034 Re
0.018 0.075 0.431 S
0.050 0.610 0.231 S
0.075 0.018 0.931 S
0.084 0.238 0.170 S
0.215 0.307 0.428 S
0.238 0.084 0.670 S
0.262 0.599 0.989 S
0.280 0.461 0.692 S
0.307 0.215 0.928 S
0.390 0.950 0.269 S
0.401 0.738 0.511 S
0.461 0.280 0.192 S
0.539 0.720 0.808 S
0.599 0.262 0.489 S
0.610 0.050 0.731 S
0.693 0.785 0.072 S
0.720 0.539 0.308 S
0.738 0.401 0.011 S
0.762 0.916 0.330 S
0.785 0.693 0.572 S
0.916 0.762 0.830 S
0.925 0.982 0.069 S
0.950 0.390 0.769 S
0.982 0.925 0.569 S
```

Results
DFT total energy = -7.23 eV/atom

Material: TcAg2Ru
Method: DFT, GGA-PBEsol
State: optimized geometry

```
TcAg2Ru
1.0
3.053 0.000 0.000
0.000 4.202 0.000
0.000 0.000 4.713
Tc Ag Ru
1 2 1
Direct
0.000 0.000 0.000 Tc
0.000 0.500 0.500 Ag
0.500 0.000 0.500 Ag
0.500 0.500 0.000 Ru
```

Results
ΔE_f = 0.64 eV/atom
DFT total energy = -6.37 eV/atom
energy above the lowest structure with this stoichiometry = 466 meV per atom

Material: VCr2O6
Method: DFT, GGA-PBEsol
State: optimized geometry

```
VCr2O6
1.0
4.456 0.000 0.000
0.000 4.456 0.000
0.000 0.000 8.560
V Cr O
2 4 12
Direct
0.000 0.000 0.000 V
0.500 0.500 0.500 V
0.000 0.000 0.332 Cr
0.000 0.000 0.668 Cr
0.500 0.500 0.168 Cr
0.500 0.500 0.832 Cr
0.196 0.196 0.500 O
0.198 0.198 0.163 O
0.198 0.198 0.837 O
0.302 0.698 0.337 O
0.302 0.698 0.663 O
0.304 0.696 0.000 O
0.696 0.304 0.000 O
0.698 0.302 0.337 O
0.698 0.302 0.663 O
0.802 0.802 0.163 O
0.802 0.802 0.837 O
0.804 0.804 0.500 O
```

Results
DFT total energy = -8.93 eV/atom

Material: K2SmCuCl6
Method: DFT, GGA-PBEsol
State: optimized geometry

```
K2SmCuCl6
1.0
0.000 5.110 5.110
5.110 0.000 5.110
5.110 5.110 0.000
K Sm Cu Cl
2 1 1 6
Direct
0.250 0.250 0.250 K
0.750 0.750 0.750 K
0.000 0.000 0.000 Sm
0.500 0.500 0.500 Cu
0.259 0.259 0.741 Cl
0.259 0.741 0.259 Cl
0.259 0.741 0.741 Cl
0.741 0.259 0.259 Cl
0.741 0.259 0.741 Cl
0.741 0.741 0.259 Cl
```

Results
DFT total energy = -4.09 eV/atom

Material: Tb2MgGe2
Method: DFT, GGA-PBEsol
State: optimized geometry

```
Tb2MgGe2
1.0
7.214 0.000 0.000
0.000 7.214 0.000
0.000 0.000 4.195
Tb Mg Ge
4 2 4
Direct
0.177 0.323 0.000 Tb
0.323 0.823 0.000 Tb
0.677 0.177 0.000 Tb
0.823 0.677 0.000 Tb
0.000 0.000 0.500 Mg
0.500 0.500 0.500 Mg
0.123 0.623 0.500 Ge
0.377 0.123 0.500 Ge
0.623 0.877 0.500 Ge
0.877 0.377 0.500 Ge
```

Results
ΔE_f = -0.83 eV/atom
DFT total energy = -5.15 eV/atom

Material: SrCrTe
Method: DFT, GGA-PBEsol
State: optimized geometry

```
SrCrTe
1.0
4.642 0.000 0.000
-2.321 4.020 0.000
0.000 0.000 4.406
Sr Cr Te
1 1 1
Direct
0.000 0.000 0.000 Sr
0.667 0.333 0.500 Cr
0.333 0.667 0.500 Te
```

Results
DFT total energy = -5.49 eV/atom

Material: Ca2Cd2Sb
Method: DFT, GGA-PBEsol
State: optimized geometry

```
Ca2Cd2Sb
1.0
3.967 0.000 0.000
0.000 3.967 0.000
0.000 0.000 18.136
Ca Cd Sb
4 4 2
Direct
0.000 0.000 0.095 Ca
0.000 0.000 0.905 Ca
0.500 0.500 0.405 Ca
0.500 0.500 0.595 Ca
0.000 0.500 0.250 Cd
0.000 0.500 0.750 Cd
0.500 0.000 0.250 Cd
0.500 0.000 0.750 Cd
0.000 0.000 0.500 Sb
0.500 0.500 0.000 Sb
```

Results
DFT total energy = -2.65 eV/atom

Material: YSnIN2
Method: DFT, GGA-PBEsol
State: optimized geometry

```
YSnIN2
1.0
4.225 0.000 0.000
0.000 4.225 0.000
0.000 0.000 5.572
Y Sn I N
1 1 1 2
Direct
0.000 0.000 0.000 Y
0.500 0.500 0.500 Sn
0.500 0.500 0.000 I
0.000 0.500 0.500 N
0.500 0.000 0.500 N
```

Results
DFT total energy = -5.31 eV/atom

Material: KAlSi2
Method: DFT, GGA-PBEsol
State: optimized geometry

```
KAlSi2
1.0
3.450 0.000 0.000
0.000 3.450 0.000
0.000 0.000 7.156
K Al Si
1 1 2
Direct
0.000 0.000 0.000 K
0.000 0.000 0.500 Al
0.500 0.500 0.336 Si
0.500 0.500 0.664 Si
```

Results
DFT total energy = -4.09 eV/atom

Material: Sr2P
Method: DFT, GGA-PBEsol
State: optimized geometry

```
Sr2P
1.0
7.047 0.000 0.000
0.000 7.047 0.000
0.000 0.000 7.673
Sr P
8 4
Direct
0.224 0.276 0.000 Sr
0.224 0.724 0.500 Sr
0.276 0.224 0.500 Sr
0.276 0.776 0.000 Sr
0.724 0.224 0.000 Sr
0.724 0.776 0.500 Sr
0.776 0.276 0.500 Sr
0.776 0.724 0.000 Sr
0.000 0.000 0.250 P
0.000 0.000 0.750 P
0.500 0.500 0.250 P
0.500 0.500 0.750 P
```

Results
ΔE_f = -0.72 eV/atom
DFT total energy = -3.88 eV/atom

Material: TaSiB2
Method: DFT, GGA-PBEsol
State: optimized geometry

```
TaSiB2
1.0
5.665 0.000 0.000
0.000 5.665 0.000
0.000 0.000 5.677
Ta Si B
4 4 8
Direct
0.000 0.000 0.000 Ta
0.000 0.500 0.250 Ta
0.500 0.000 0.750 Ta
0.500 0.500 0.500 Ta
0.000 0.000 0.500 Si
0.000 0.500 0.750 Si
0.500 0.000 0.250 Si
0.500 0.500 0.000 Si
0.209 0.750 0.625 B
0.250 0.209 0.375 B
0.250 0.291 0.875 B
0.291 0.750 0.125 B
0.709 0.250 0.125 B
0.750 0.709 0.875 B
0.750 0.791 0.375 B
0.791 0.250 0.625 B
```

Results
DFT total energy = -7.84 eV/atom

Material: PmInRh2
Method: DFT, GGA-PBEsol
State: optimized geometry

```
PmInRh2
1.0
6.631 0.000 0.000
0.000 6.631 0.000
0.000 0.000 6.631
Pm In Rh
4 4 8
Direct
0.000 0.000 0.000 Pm
0.000 0.500 0.500 Pm
0.500 0.000 0.500 Pm
0.500 0.500 0.000 Pm
0.000 0.000 0.500 In
0.000 0.500 0.000 In
0.500 0.000 0.000 In
0.500 0.500 0.500 In
0.250 0.250 0.250 Rh
0.250 0.250 0.750 Rh
0.250 0.750 0.250 Rh
0.250 0.750 0.750 Rh
0.750 0.250 0.250 Rh
0.750 0.250 0.750 Rh
0.750 0.750 0.250 Rh
0.750 0.750 0.750 Rh
```

Results
ΔE_f = -0.62 eV/atom
DFT total energy = -6.71 eV/atom

Material: FeTe2Ru
Method: DFT, GGA-PBEsol
State: optimized geometry

```
FeTe2Ru
1.0
3.360 0.000 0.000
0.000 3.360 0.000
0.000 0.000 7.109
Fe Te Ru
1 2 1
Direct
0.000 0.000 0.000 Fe
0.000 0.000 0.373 Te
0.500 0.500 0.822 Te
0.500 0.500 0.190 Ru
```

Results
DFT total energy = -6.39 eV/atom

Material: MgCoAu2
Method: DFT, GGA-PBEsol
State: optimized geometry

```
MgCoAu2
1.0
3.883 0.000 0.000
0.000 3.883 0.000
0.000 0.000 8.079
Mg Co Au
2 2 4
Direct
0.000 0.000 0.000 Mg
0.500 0.500 0.500 Mg
0.000 0.500 0.250 Co
0.500 0.000 0.750 Co
0.000 0.000 0.500 Au
0.000 0.500 0.750 Au
0.500 0.000 0.250 Au
0.500 0.500 0.000 Au
```

Results
ΔE_f = -0.10 eV/atom
DFT total energy = -4.43 eV/atom

Material: Mg2ZnCo2
Method: DFT, GGA-PBEsol
State: optimized geometry

```
Mg2ZnCo2
1.0
6.018 0.000 0.000
0.000 6.018 0.000
0.000 0.000 4.001
Mg Zn Co
4 2 4
Direct
0.172 0.328 0.000 Mg
0.328 0.828 0.000 Mg
0.672 0.172 0.000 Mg
0.828 0.672 0.000 Mg
0.000 0.000 0.500 Zn
0.500 0.500 0.500 Zn
0.127 0.627 0.500 Co
0.373 0.127 0.500 Co
0.627 0.873 0.500 Co
0.873 0.373 0.500 Co
```

Results
ΔE_f = 0.05 eV/atom
DFT total energy = -4.05 eV/atom